Arrangement A

# Pm4AgHg2 | Alexandria via LeMat-Bulk | PBE-GGA | relaxed
data_Pm4AgHg2
_chemical_formula_sum 'Pm8 Ag2 Hg4'
_symmetry_space_group_name_H-M 'P 1'
_symmetry_Int_Tables_number 1
_cell_length_a 8.109
_cell_length_b 8.109
_cell_length_c 8.109
_cell_angle_alpha 109.71
_cell_angle_beta 109.00
_cell_angle_gamma 109.71
loop_
_symmetry_equiv_pos_as_xyz
'x,y,z'
loop_
_atom_site_label
_atom_site_type_symbol
_atom_site_fract_x
_atom_site_fract_y
_atom_site_fract_z
_atom_site_occupancy
Hg1 Hg 0.375 0.874 0.749 1
Hg2 Hg 0.875 0.126 0.501 1
Hg3 Hg 0.251 0.626 0.125 1
Hg4 Hg 0.499 0.374 0.625 1
Pm1 Pm 0.627 0.753 0.022 1
Pm2 Pm 0.624 0.747 0.520 1
Pm3 Pm 0.270 0.247 0.874 1
Pm4 Pm 0.978 0.604 0.730 1
Pm5 Pm 0.480 0.104 0.228 1
Pm6 Pm 0.126 0.396 0.373 1
Pm7 Pm 0.123 0.896 0.376 1
Pm8 Pm 0.772 0.253 0.877 1
Ag1 Ag 0.750 0.500 0.250 1
Ag2 Ag 0.000 0.000 0.000 1
# Symmetry = I-42d, No. 122

---

Arrangement B

# Pm4AgHg2 | Alexandria via LeMat-Bulk | PBE-GGA | relaxed
data_Pm4AgHg2
_chemical_formula_sum 'Pm4 Ag1 Hg2'
_symmetry_space_group_name_H-M 'P 1'
_symmetry_Int_Tables_number 1
_cell_length_a 6.479
_cell_length_b 6.479
_cell_length_c 6.479
_cell_angle_alpha 109.42
_cell_angle_beta 109.50
_cell_angle_gamma 109.50
loop_
_symmetry_equiv_pos_as_xyz
'x,y,z'
loop_
_atom_site_label
_atom_site_type_symbol
_atom_site_fract_x
_atom_site_fract_y
_atom_site_fract_z
_atom_site_occupancy
Pm1 Pm 0.000 0.000 0.500 1
Pm2 Pm 0.500 0.500 0.500 1
Pm3 Pm 0.000 0.500 0.000 1
Pm4 Pm 0.500 0.000 0.000 1
Hg1 Hg 0.500 0.500 0.000 1
Hg2 Hg 0.500 0.000 0.500 1
Ag1 Ag 0.000 0.000 0.000 1
# Symmetry = I4/mmm, No. 139

---

Energy ordering: arrangement B at the bottom, the next structure 1.0 kJ/mol of atoms above.

---

Arrangement A

# Pm3AgHg4 | Alexandria via LeMat-Bulk | PBE-GGA | relaxed
data_Pm3AgHg4
_chemical_formula_sum 'Pm3 Ag1 Hg4'
_symmetry_space_group_name_H-M 'P 1'
_symmetry_Int_Tables_number 1
_cell_length_a 5.316
_cell_length_b 5.310
_cell_length_c 11.120
_cell_angle_alpha 135.76
_cell_angle_beta 103.83
_cell_angle_gamma 90.00
loop_
_symmetry_equiv_pos_as_xyz
'x,y,z'
loop_
_atom_site_label
_atom_site_type_symbol
_atom_site_fract_x
_atom_site_fract_y
_atom_site_fract_z
_atom_site_occupancy
Hg1 Hg 0.119 0.356 0.237 1
Hg2 Hg 0.618 0.855 0.237 1
Hg3 Hg 0.881 0.644 0.763 1
Hg4 Hg 0.382 0.145 0.763 1
Pm1 Pm 0.732 0.697 0.465 1
Pm2 Pm 0.000 0.500 0.000 1
Pm3 Pm 0.268 0.303 0.535 1
Ag1 Ag 0.500 0.000 0.000 1
# Symmetry = I4/mmm, No. 139

---

Arrangement B

# Pm3AgHg4 | Alexandria via LeMat-Bulk | PBE-GGA | relaxed
data_Pm3AgHg4
_chemical_formula_sum 'Pm3 Ag1 Hg4'
_symmetry_space_group_name_H-M 'P 1'
_symmetry_Int_Tables_number 1
_cell_length_a 5.165
_cell_length_b 5.165
_cell_length_c 9.493
_cell_angle_alpha 74.21
_cell_angle_beta 74.21
_cell_angle_gamma 60.00
loop_
_symmetry_equiv_pos_as_xyz
'x,y,z'
loop_
_atom_site_label
_atom_site_type_symbol
_atom_site_fract_x
_atom_site_fract_y
_atom_site_fract_z
_atom_site_occupancy
Pm1 Pm 0.260 0.260 0.221 1
Pm2 Pm 0.500 0.500 0.500 1
Pm3 Pm 0.740 0.740 0.779 1
Hg1 Hg 0.375 0.375 0.875 1
Hg2 Hg 0.625 0.625 0.125 1
Hg3 Hg 0.126 0.126 0.623 1
Hg4 Hg 0.874 0.874 0.377 1
Ag1 Ag 0.000 0.000 0.000 1
# Symmetry = R-3m, No. 166

---

Energy ordering: arrangement A at the bottom, the next structure 2.1 kJ/mol of atoms above.

---

Arrangement A

# Pm6AgHg5 | Alexandria via LeMat-Bulk | PBE-GGA | relaxed
data_Pm6AgHg5
_chemical_formula_sum 'Pm6 Ag1 Hg5'
_symmetry_space_group_name_H-M 'P 1'
_symmetry_Int_Tables_number 1
_cell_length_a 9.234
_cell_length_b 7.009
_cell_length_c 6.619
_cell_angle_alpha 58.03
_cell_angle_beta 83.95
_cell_angle_gamma 78.52
loop_
_symmetry_equiv_pos_as_xyz
'x,y,z'
loop_
_atom_site_label
_atom_site_type_symbol
_atom_site_fract_x
_atom_site_fract_y
_atom_site_fract_z
_atom_site_occupancy
Hg1 Hg 0.500 0.864 0.271 1
Hg2 Hg 0.500 0.500 0.000 1
Hg3 Hg 0.500 0.136 0.729 1
Hg4 Hg 0.000 0.292 0.416 1
Hg5 Hg 0.000 0.708 0.584 1
Pm1 Pm 0.215 0.272 0.000 1
Pm2 Pm 0.735 0.095 0.338 1
Pm3 Pm 0.265 0.905 0.662 1
Pm4 Pm 0.735 0.433 0.662 1
Pm5 Pm 0.265 0.567 0.338 1
Pm6 Pm 0.785 0.728 0.000 1
Ag1 Ag 0.000 0.000 0.000 1
# Symmetry = C2/m, No. 12

---

Arrangement B

# Pm6AgHg5 | Alexandria via LeMat-Bulk | PBE-GGA | relaxed
data_Pm6AgHg5
_chemical_formula_sum 'Pm6 Ag1 Hg5'
_symmetry_space_group_name_H-M 'P 1'
_symmetry_Int_Tables_number 1
_cell_length_a 5.345
_cell_length_b 7.654
_cell_length_c 8.458
_cell_angle_alpha 90.00
_cell_angle_beta 108.45
_cell_angle_gamma 90.00
loop_
_symmetry_equiv_pos_as_xyz
'x,y,z'
loop_
_atom_site_label
_atom_site_type_symbol
_atom_site_fract_x
_atom_site_fract_y
_atom_site_fract_z
_atom_site_occupancy
Pm1 Pm 0.500 0.248 0.000 1
Pm2 Pm 0.165 0.751 0.331 1
Pm3 Pm 0.835 0.249 0.669 1
Pm4 Pm 0.165 0.249 0.331 1
Pm5 Pm 0.500 0.752 0.000 1
Pm6 Pm 0.835 0.751 0.669 1
Ag1 Ag 0.000 0.000 0.000 1
Hg1 Hg 0.000 0.500 0.000 1
Hg2 Hg 0.334 0.500 0.667 1
Hg3 Hg 0.333 0.000 0.666 1
Hg4 Hg 0.666 0.500 0.333 1
Hg5 Hg 0.667 0.000 0.334 1
# Symmetry = Cmmm, No. 65

---

Energy ordering: arrangement B at the bottom, the next structure 16.0 kJ/mol of atoms above.

---

Arrangement A

# Pm6Ag5Hg | Alexandria via LeMat-Bulk | PBE-GGA | relaxed
data_Pm6Ag5Hg
_chemical_formula_sum 'Pm6 Ag5 Hg1'
_symmetry_space_group_name_H-M 'P 1'
_symmetry_Int_Tables_number 1
_cell_length_a 8.224
_cell_length_b 7.475
_cell_length_c 6.811
_cell_angle_alpha 56.72
_cell_angle_beta 83.46
_cell_angle_gamma 78.01
loop_
_symmetry_equiv_pos_as_xyz
'x,y,z'
loop_
_atom_site_label
_atom_site_type_symbol
_atom_site_fract_x
_atom_site_fract_y
_atom_site_fract_z
_atom_site_occupancy
Ag1 Ag 0.000 0.282 0.436 1
Ag2 Ag 0.500 0.879 0.243 1
Ag3 Ag 0.500 0.121 0.757 1
Ag4 Ag 0.500 0.500 0.000 1
Ag5 Ag 0.000 0.718 0.564 1
Pm1 Pm 0.280 0.549 0.350 1
Pm2 Pm 0.280 0.898 0.650 1
Pm3 Pm 0.200 0.309 0.000 1
Pm4 Pm 0.720 0.102 0.350 1
Pm5 Pm 0.800 0.691 0.000 1
Pm6 Pm 0.720 0.451 0.650 1
Hg1 Hg 0.000 0.000 0.000 1
# Symmetry = C2/m, No. 12

---

Arrangement B

# Pm6Ag5Hg | Alexandria via LeMat-Bulk | PBE-GGA | relaxed
data_Pm6Ag5Hg
_chemical_formula_sum 'Pm6 Ag5 Hg1'
_symmetry_space_group_name_H-M 'P 1'
_symmetry_Int_Tables_number 1
_cell_length_a 5.322
_cell_length_b 7.415
_cell_length_c 8.417
_cell_angle_alpha 90.00
_cell_angle_beta 108.57
_cell_angle_gamma 90.00
loop_
_symmetry_equiv_pos_as_xyz
'x,y,z'
loop_
_atom_site_label
_atom_site_type_symbol
_atom_site_fract_x
_atom_site_fract_y
_atom_site_fract_z
_atom_site_occupancy
Ag1 Ag 0.000 0.500 0.000 1
Ag2 Ag 0.664 0.000 0.331 1
Ag3 Ag 0.335 0.500 0.668 1
Ag4 Ag 0.336 0.000 0.669 1
Ag5 Ag 0.665 0.500 0.332 1
Pm1 Pm 0.167 0.748 0.336 1
Pm2 Pm 0.167 0.252 0.336 1
Pm3 Pm 0.500 0.254 0.000 1
Pm4 Pm 0.500 0.746 0.000 1
Pm5 Pm 0.833 0.252 0.664 1
Pm6 Pm 0.833 0.748 0.664 1
Hg1 Hg 0.000 0.000 0.000 1
# Symmetry = P2/m, No. 10

---

Energy ordering: arrangement B at the bottom, the next structure 19.0 kJ/mol of atoms above.